Arrangement A

VASP calculation (GGA-PBE) on a geometry-optimized NpSc2Ag structure.

Results
SG   P4/mmm, No. 123

Cell lengths 3.134, 3.134, 8.755 Å; angles 90.00, 90.00, 90.00 degrees
Each line ends with the local moment (μB).
Element x y z (fractional)
Np: 0.500 0.500 0.000  3.54
Sc: 0.000 0.000 0.267  -0.01
Sc: 0.000 0.000 0.733  -0.01
Ag: 0.500 0.500 0.500  0.00

=====

Arrangement B

VASP calculation (GGA-PBE) on a geometry-optimized NpSc2Ag structure.

Results
SG   P4/mmm, No. 123

Cell lengths 3.202, 5.160, 5.160 Å; angles 90.00, 90.00, 90.00 degrees
Each line ends with the local moment (μB).
Element x y z (fractional)
Sc: 0.000 0.000 0.500  0.16
Np: 0.500 0.500 0.500  3.85
Ag: 0.500 0.000 0.000  0.00
Sc: 0.000 0.500 0.000  0.16

=====

Stability, descending: arrangement A, arrangement B

=====

Arrangement A

VASP calculation (GGA-PBE) on a geometry-optimized Th2NpAg structure.

Results
SG   P4/mmm, No. 123

Cell lengths 3.529, 3.529, 8.755 Å; angles 90.00, 90.00, 90.00 degrees
Each line ends with the local moment (μB).
Element x y z (fractional)
Th: 0.000 0.000 0.744  0.09
Ag: 0.500 0.500 0.500  0.02
Np: 0.500 0.500 0.000  3.82
Th: 0.000 0.000 0.256  0.09

=====

Arrangement B

VASP calculation (GGA-PBE) on a geometry-optimized Th2NpAg structure.

Results
SG   P4/mmm, No. 123

Cell lengths 3.418, 5.534, 5.534 Å; angles 90.00, 90.00, 90.00 degrees
Each line ends with the local moment (μB).
Element x y z (fractional)
Np: 0.500 0.500 0.500  3.72
Th: 0.000 0.500 0.000  0.17
Ag: 0.500 0.000 0.000  0.00
Th: 0.000 0.000 0.500  0.17

=====

Stability, descending: arrangement B, arrangement A

=====

Arrangement A

VASP calculation (GGA-PBE) on a geometry-optimized NpZn9Ag2 structure.

Results
SG   P6/mmm, No. 191

Cell lengths 2.800, 9.050, 9.050 Å; angles 120.00, 90.00, 90.00 degrees
Each line ends with the local moment (μB).
Element x y z (fractional)
Zn: 0.500 0.177 0.354  0.00
Ag: 0.000 0.667 0.333  0.00
Zn: 0.500 0.646 0.823  0.00
Ag: 0.000 0.333 0.667  0.00
Zn: 0.500 0.823 0.177  0.00
Zn: 0.000 0.500 0.000  0.00
Zn: 0.500 0.177 0.823  0.00
Zn: 0.000 0.000 0.500  0.00
Zn: 0.500 0.823 0.646  0.00
Np: 0.000 0.000 0.000  3.99
Zn: 0.000 0.500 0.500  0.00
Zn: 0.500 0.354 0.177  0.00

=====

Arrangement B

VASP calculation (GGA-PBE) on a geometry-optimized NpZn9Ag2 structure.

Results
SG   R-3m, No. 166

Cell lengths 5.219, 5.219, 8.976 Å; angles 73.10, 73.10, 60.00 degrees
Each line ends with the local moment (μB).
Element x y z (fractional)
Zn: 0.918 0.411 0.259  0.01
Ag: 0.135 0.135 0.594  0.01
Zn: 0.333 0.333 0.000  0.02
Zn: 0.411 0.411 0.259  0.01
Ag: 0.865 0.865 0.406  0.01
Zn: 0.411 0.918 0.259  0.01
Zn: 0.082 0.589 0.741  0.01
Zn: 0.589 0.589 0.741  0.01
Np: 0.000 0.000 0.000  4.05
Zn: 0.589 0.082 0.741  0.01
Zn: 0.667 0.667 0.000  0.02
Zn: 0.500 0.500 0.500  0.01

=====

Stability, descending: arrangement A, arrangement B

=====

Arrangement A

VASP calculation (GGA-PBE) on a geometry-optimized Ag2O structure.

Results
SG   Ibam, No. 72

Cell lengths 6.710, 6.710, 6.710 Å; angles 123.87, 118.59, 87.94 degrees
Element x y z (fractional)
O: 0.170 0.896 0.274
Ag: 0.000 0.000 0.000
O: 0.622 0.396 0.226
Ag: 0.500 0.000 0.000
O: 0.378 0.604 0.774
Ag: 0.000 0.500 0.500
O: 0.830 0.104 0.726
Ag: 0.000 0.000 0.500
Ag: 0.500 0.250 0.750
Ag: 0.000 0.500 0.000
Ag: 0.500 0.750 0.250
Ag: 0.500 0.500 0.500

=====

Arrangement B

VASP calculation (GGA-PBE) on a geometry-optimized Ag2O structure.

Results
SG   Pn-3m, No. 224

Cell lengths 4.841, 4.841, 4.841 Å; angles 90.00, 90.00, 90.00 degrees
Element x y z (fractional)
Ag: 0.250 0.250 0.750
O: 0.500 0.500 0.500
Ag: 0.250 0.750 0.250
Ag: 0.750 0.250 0.250
O: 0.000 0.000 0.000
Ag: 0.750 0.750 0.750

=====

Arrangement C

VASP calculation (GGA-PBE) on a geometry-optimized Ag2O structure.

Results
SG   P1, No. 1

Cell lengths 4.383, 5.444, 8.682 Å; angles 67.93, 59.84, 66.35 degrees
Element x y z (fractional)
O: 0.777 0.236 0.880
Ag: 0.606 0.708 0.813
Ag: 0.368 0.299 0.254
O: 0.413 0.886 0.417
Ag: 0.094 0.051 0.654
Ag: 0.822 0.705 0.098
Ag: 0.919 0.850 0.428
O: 0.280 0.725 0.130
Ag: 0.252 0.250 0.898

=====

Stability, descending: arrangement B, arrangement A, arrangement C

=====

Arrangement A

VASP calculation (GGA-PBE) on a geometry-optimized Ag2O structure.

Results
SG   P-3m1, No. 164

Cell lengths 3.213, 3.213, 4.993 Å; angles 90.00, 90.00, 120.00 degrees
Element x y z (fractional)
Ag: 0.667 0.333 0.712
O: 0.000 0.000 0.000
Ag: 0.333 0.667 0.288

=====

Arrangement B

VASP calculation (GGA-PBE) on a geometry-optimized Ag2O structure.

Results
SG   Cmcm, No. 63

Cell lengths 4.243, 4.349, 5.780 Å; angles 90.00, 111.53, 90.00 degrees
Element x y z (fractional)
O: 0.357 0.250 0.714
Ag: 0.373 0.750 0.746
Ag: 0.096 0.750 0.191
Ag: 0.627 0.250 0.254
O: 0.643 0.750 0.286
Ag: 0.904 0.250 0.809

=====

Stability, descending: arrangement B, arrangement A

=====

Arrangement A

VASP calculation (GGA-PBE) on a geometry-optimized Ag3O2 structure.

Results
SG   Fddd, No. 70

Cell lengths 5.591, 5.591, 10.455 Å; angles 100.57, 100.57, 108.31 degrees
Element x y z (fractional)
Ag: 0.599 0.571 0.678
O: 0.732 0.732 0.464
Ag: 0.726 0.726 0.000
Ag: 0.429 0.401 0.322
O: 0.518 0.018 0.036
Ag: 0.524 0.024 0.500
O: 0.157 0.657 0.314
Ag: 0.651 0.179 0.822
O: 0.093 0.093 0.186
O: 0.982 0.482 0.964
Ag: 0.079 0.107 0.678
Ag: 0.976 0.476 0.500
O: 0.343 0.843 0.686
Ag: 0.821 0.349 0.178
Ag: 0.171 0.643 0.822
Ag: 0.357 0.829 0.178
O: 0.268 0.268 0.536
O: 0.907 0.907 0.814
Ag: 0.274 0.274 0.000
Ag: 0.893 0.921 0.322

=====

Arrangement B

VASP calculation (GGA-PBE) on a geometry-optimized Ag3O2 structure.

Results
SG   R-3c, No. 167

Cell lengths 5.458, 5.458, 6.685 Å; angles 65.91, 65.91, 60.00 degrees
Element x y z (fractional)
O: 0.160 0.160 0.519
Ag: 0.750 0.415 0.750
Ag: 0.585 0.915 0.250
Ag: 0.250 0.585 0.250
Ag: 0.085 0.750 0.750
Ag: 0.915 0.250 0.250
O: 0.660 0.660 0.019
O: 0.840 0.840 0.481
O: 0.340 0.340 0.981
Ag: 0.415 0.085 0.750

=====

Stability, descending: arrangement A, arrangement B

=====

Arrangement A

VASP calculation (GGA-PBE) on a geometry-optimized AgOs2O8 structure.

Results
SG   C2/m, No. 12

Cell lengths 7.009, 6.570, 7.009 Å; angles 61.99, 50.14, 61.99 degrees
Each line ends with the local moment (μB).
Element x y z (fractional)
O: 0.376 0.261 0.906  0.05
Os: 0.199 0.327 0.199  0.24
O: 0.906 0.261 0.376  0.05
O: 0.641 0.844 0.641  0.03
Os: 0.801 0.673 0.801  0.24
O: 0.359 0.156 0.359  0.03
Ag: 0.000 0.000 0.000  0.02
O: 0.151 0.633 0.151  0.02
O: 0.849 0.367 0.849  0.02
O: 0.094 0.739 0.624  0.05
O: 0.624 0.739 0.094  0.05

=====

Arrangement B

VASP calculation (GGA-PBE) on a geometry-optimized AgOs2O8 structure.

Results
SG   P-3m1, No. 164

Cell lengths 5.649, 6.487, 6.487 Å; angles 120.00, 90.00, 90.00 degrees
Each line ends with the local moment (μB).
Element x y z (fractional)
O: 0.289 0.186 0.372  0.05
Ag: 0.500 0.000 0.000  0.01
O: 0.711 0.814 0.628  0.05
Os: 0.190 0.333 0.667  0.29
O: 0.118 0.667 0.333  0.05
O: 0.711 0.372 0.186  0.05
O: 0.289 0.628 0.814  0.05
O: 0.711 0.814 0.186  0.05
O: 0.289 0.186 0.814  0.05
Os: 0.810 0.667 0.333  0.29
O: 0.882 0.333 0.667  0.05

=====

Stability, descending: arrangement B, arrangement A

=====

Arrangement A

VASP calculation (GGA-PBE) on a geometry-optimized AgOs3O structure.

Results
SG   Pm-3m, No. 221

Cell lengths 4.875, 4.875, 4.875 Å; angles 90.00, 90.00, 90.00 degrees
Each line ends with the local moment (μB).
Element x y z (fractional)
Os: 0.500 0.000 0.000  1.78
Ag: 0.000 0.000 0.000  0.14
Os: 0.000 0.000 0.500  2.72
Os: 0.000 0.500 0.000  2.26
O: 0.500 0.500 0.500  1.12

=====

Arrangement B

VASP calculation (GGA-PBE) on a geometry-optimized AgOs3O structure.

Results
SG   Pm-3m, No. 221

Cell lengths 4.126, 4.126, 4.126 Å; angles 90.00, 90.00, 90.00 degrees
Each line ends with the local moment (μB).
Element x y z (fractional)
Ag: 0.500 0.500 0.500  0.09
Os: 0.500 0.000 0.000  0.56
Os: 0.000 0.500 0.000  0.42
Os: 0.000 0.000 0.500  0.24
O: 0.000 0.000 0.000  -0.01

=====

Stability, descending: arrangement B, arrangement A